Entry w
{
  "formula": "Bi2BP",
  "functional": "PBE",
  "state": "relaxed",
  "cell": [[-3.246, -0.539, 3.656], [-4.092, -2.635, -0.713], [-0.526, -4.369, 2.198]],
  "species": ["Bi", "Bi", "B", "P"],
  "frac_coords": [[0.250, 0.250, 0.250], [0.750, 0.750, 0.750], [0.000, 0.000, 0.000], [0.500, 0.500, 0.500]],
  "m_tot_mub_per_cell": 0.000,
  "volume_a3_per_fu": 84.14,
  "crystal_system": "cubic",
  "space_group": "No. 225",
  "rho_g_cm3": 9.07
}

=====

Entry x
{
  "formula": "Bi2BP",
  "functional": "PBE",
  "state": "relaxed",
  "cell": [[6.345, 0.000, 0.000], [0.000, 6.345, 0.000], [3.172, 3.172, 5.314]],
  "species": ["Bi", "Bi", "Bi", "Bi", "P", "P", "B", "B"],
  "frac_coords": [[0.875, 0.825, 0.750], [0.375, 0.425, 0.750], [0.575, 0.125, 0.250], [0.175, 0.625, 0.250], [0.000, 0.000, 0.000], [0.750, 0.250, 0.500], [0.500, 0.500, 0.000], [0.250, 0.750, 0.500]],
  "m_tot_mub_per_cell": 0.000,
  "volume_a3_per_fu": 106.97,
  "crystal_system": "tetragonal",
  "space_group": "No. 122",
  "rho_g_cm3": 7.14
}

=====

Which structure is most stable? entry x, by 308 meV per atom over the runner-up.

=====

Entry w
{
  "formula": "BiB2P",
  "functional": "PBE",
  "state": "relaxed",
  "cell": [[5.044, 0.000, 0.000], [0.000, 5.044, 0.000], [2.522, 2.522, 4.914]],
  "species": ["Bi", "Bi", "P", "P", "B", "B", "B", "B"],
  "frac_coords": [[0.000, 0.000, 0.000], [0.750, 0.250, 0.500], [0.250, 0.750, 0.500], [0.500, 0.500, 0.000], [0.875, 0.806, 0.750], [0.556, 0.125, 0.250], [0.375, 0.444, 0.750], [0.194, 0.625, 0.250]],
  "m_tot_mub_per_cell": 0.000,
  "volume_a3_per_fu": 62.51,
  "crystal_system": "tetragonal",
  "space_group": "No. 122",
  "rho_g_cm3": 6.95
}

=====

Entry x
{
  "formula": "BiB2P",
  "functional": "PBE",
  "state": "relaxed",
  "cell": [[3.440, -2.627, -0.737], [1.831, -2.204, 3.327], [-0.468, -4.357, 0.268]],
  "species": ["B", "B", "P", "Bi"],
  "frac_coords": [[0.250, 0.250, 0.250], [0.750, 0.750, 0.750], [0.000, 0.000, 0.000], [0.500, 0.500, 0.500]],
  "m_tot_mub_per_cell": 0.000,
  "volume_a3_per_fu": 59.85,
  "crystal_system": "cubic",
  "space_group": "No. 225",
  "rho_g_cm3": 7.26
}

=====

Which structure is most stable? entry w, by 1442 meV per atom over the runner-up.

=====

Entry w
{
  "formula": "BiBPb3",
  "functional": "PBE",
  "state": "relaxed",
  "cell": [[-5.975, -0.529, 0.888], [0.682, -5.933, 1.052], [0.777, 1.137, 5.906]],
  "species": ["Bi", "B", "Pb", "Pb", "Pb"],
  "frac_coords": [[0.000, 0.000, 0.000], [0.500, 0.500, 0.500], [0.500, 0.000, 0.000], [0.000, 0.500, 0.000], [0.000, 0.000, 0.500]],
  "m_tot_mub_per_cell": 0.001,
  "volume_a3_per_fu": 223.01,
  "crystal_system": "cubic",
  "space_group": "No. 221",
  "rho_g_cm3": 6.27
}

=====

Entry x
{
  "formula": "BiBPb3",
  "functional": "PBE",
  "state": "relaxed",
  "cell": [[-1.765, -1.333, -4.662], [-3.909, -2.544, 2.207], [-2.869, 4.286, -0.140]],
  "species": ["Bi", "Pb", "Pb", "Pb", "B"],
  "frac_coords": [[0.500, 0.500, 0.500], [0.500, 0.000, 0.000], [0.000, 0.500, 0.000], [0.000, 0.000, 0.500], [0.000, 0.000, 0.000]],
  "m_tot_mub_per_cell": 0.000,
  "volume_a3_per_fu": 137.37,
  "crystal_system": "cubic",
  "space_group": "No. 221",
  "rho_g_cm3": 10.17
}

=====

Which structure is most stable? entry x, by 1070 meV per atom over the runner-up.

=====

Entry w
{
  "formula": "BiBPd4",
  "functional": "PBE",
  "state": "relaxed",
  "cell": [[-1.246, 4.086, -2.798], [-5.383, -2.359, -1.047], [0.071, 1.564, 6.928]],
  "species": ["Pd", "Pd", "Pd", "Pd", "Pd", "Pd", "Pd", "Pd", "Bi", "Bi", "B", "B"],
  "frac_coords": [[0.498, 0.946, 0.197], [0.300, 0.651, 0.408], [0.502, 0.054, 0.803], [0.892, 0.850, 0.593], [0.700, 0.349, 0.592], [0.301, 0.553, 0.803], [0.108, 0.150, 0.407], [0.699, 0.447, 0.197], [0.874, 0.750, 0.999], [0.126, 0.250, 0.001], [0.000, 0.500, 0.500], [0.500, 0.000, 0.500]],
  "m_tot_mub_per_cell": 0.000,
  "volume_a3_per_fu": 96.73,
  "crystal_system": "triclinic",
  "space_group": "No. 2",
  "rho_g_cm3": 11.08
}

=====

Entry x
{
  "formula": "BiBPd4",
  "functional": "PBE",
  "state": "relaxed",
  "cell": [[4.305, 0.000, -1.139], [0.000, 6.019, 0.000], [-0.274, 0.000, 7.669]],
  "species": ["Pd", "Pd", "Pd", "Pd", "Pd", "Pd", "Pd", "Pd", "Bi", "Bi", "B", "B"],
  "frac_coords": [[0.196, 0.497, 0.392], [0.000, 0.000, 0.000], [0.196, 0.003, 0.392], [0.000, 0.500, 0.000], [0.804, 0.997, 0.608], [0.384, 0.250, 0.768], [0.804, 0.503, 0.608], [0.616, 0.750, 0.232], [0.611, 0.250, 0.223], [0.389, 0.750, 0.777], [0.105, 0.750, 0.209], [0.895, 0.250, 0.791]],
  "m_tot_mub_per_cell": 0.000,
  "volume_a3_per_fu": 98.41,
  "crystal_system": "orthorhombic",
  "space_group": "No. 63",
  "rho_g_cm3": 10.89
}

=====

Which structure is most stable? entry w, by 52 meV per atom over the runner-up.

=====

Entry w
{
  "formula": "Bi2BPd6",
  "functional": "PBE",
  "state": "relaxed",
  "cell": [[5.197, 0.000, 3.001], [1.732, 4.900, 3.001], [0.000, 0.000, 6.001]],
  "species": ["Pd", "Pd", "Pd", "Pd", "Pd", "Pd", "Bi", "Bi", "B"],
  "frac_coords": [[0.748, 0.252, 0.748], [0.748, 0.252, 0.252], [0.748, 0.748, 0.252], [0.252, 0.748, 0.748], [0.252, 0.748, 0.252], [0.252, 0.252, 0.748], [0.750, 0.750, 0.750], [0.250, 0.250, 0.250], [0.000, 0.000, 0.000]],
  "m_tot_mub_per_cell": 0.000,
  "volume_a3_per_fu": 152.84,
  "crystal_system": "cubic",
  "space_group": "No. 225",
  "rho_g_cm3": 11.60
}

=====

Entry x
{
  "formula": "Bi2BPd6",
  "functional": "PBE",
  "state": "relaxed",
  "cell": [[-3.346, -0.606, -0.804], [-0.425, -4.818, 5.396], [0.077, 7.366, 1.718]],
  "species": ["Pd", "Pd", "Pd", "Pd", "Pd", "Pd", "Bi", "Bi", "B"],
  "frac_coords": [[0.164, 0.357, 0.328], [0.164, 0.971, 0.328], [0.500, 0.184, 0.000], [0.500, 0.816, 0.000], [0.836, 0.643, 0.672], [0.836, 0.029, 0.672], [0.357, 0.356, 0.711], [0.643, 0.644, 0.289], [0.000, 0.000, 0.000]],
  "m_tot_mub_per_cell": 0.000,
  "volume_a3_per_fu": 162.21,
  "crystal_system": "orthorhombic",
  "space_group": "No. 71",
  "rho_g_cm3": 10.93
}

=====

Which structure is most stable? entry w, by 102 meV per atom over the runner-up.

=====

Entry w
{
  "formula": "Bi2BPd2",
  "functional": "PBE",
  "state": "relaxed",
  "cell": [[6.027, 0.000, 0.000], [0.000, 6.027, 0.000], [0.000, 0.000, 5.519]],
  "species": ["Pd", "Pd", "Pd", "Pd", "Bi", "Bi", "Bi", "Bi", "B", "B"],
  "frac_coords": [[0.685, 0.185, 0.000], [0.185, 0.315, 0.000], [0.315, 0.815, 0.000], [0.815, 0.685, 0.000], [0.690, 0.810, 0.500], [0.190, 0.690, 0.500], [0.810, 0.310, 0.500], [0.310, 0.190, 0.500], [0.500, 0.500, 0.000], [0.000, 0.000, 0.000]],
  "m_tot_mub_per_cell": 0.000,
  "volume_a3_per_fu": 100.25,
  "crystal_system": "tetragonal",
  "space_group": "No. 127",
  "rho_g_cm3": 10.63
}

=====

Entry x
{
  "formula": "Bi2BPd2",
  "functional": "PBE",
  "state": "relaxed",
  "cell": [[5.759, 0.000, 0.000], [0.000, 5.759, 0.000], [2.879, 2.879, 3.326]],
  "species": ["Pd", "Pd", "Bi", "Bi", "B"],
  "frac_coords": [[0.709, 0.709, 0.582], [0.291, 0.291, 0.418], [0.750, 0.250, 0.500], [0.250, 0.750, 0.500], [0.000, 0.000, 0.000]],
  "m_tot_mub_per_cell": 0.000,
  "volume_a3_per_fu": 110.30,
  "crystal_system": "tetragonal",
  "space_group": "No. 139",
  "rho_g_cm3": 9.66
}

=====

Which structure is most stable? entry w, by 89 meV per atom over the runner-up.

=====

Entry w
{
  "formula": "Bi3BPt",
  "functional": "PBE",
  "state": "relaxed",
  "cell": [[-2.846, 3.533, -3.008], [-4.564, -2.766, 1.070], [-0.835, 3.082, 4.408]],
  "species": ["Bi", "Bi", "Bi", "B", "Pt"],
  "frac_coords": [[0.000, 0.000, 0.500], [0.500, 0.000, 0.000], [0.000, 0.500, 0.000], [0.500, 0.500, 0.500], [0.000, 0.000, 0.000]],
  "m_tot_mub_per_cell": 0.000,
  "volume_a3_per_fu": 161.28,
  "crystal_system": "cubic",
  "space_group": "No. 221",
  "rho_g_cm3": 8.58
}

=====

Entry x
{
  "formula": "Bi3BPt",
  "functional": "PBE",
  "state": "relaxed",
  "cell": [[-0.456, -0.737, 4.844], [-1.423, -4.635, -0.839], [4.688, -1.478, 0.216]],
  "species": ["Bi", "Bi", "Bi", "Pt", "B"],
  "frac_coords": [[0.500, 0.000, 0.000], [0.000, 0.000, 0.500], [0.000, 0.500, 0.000], [0.500, 0.500, 0.500], [0.000, 0.000, 0.000]],
  "m_tot_mub_per_cell": 0.000,
  "volume_a3_per_fu": 119.14,
  "crystal_system": "cubic",
  "space_group": "No. 221",
  "rho_g_cm3": 11.61
}

=====

Which structure is most stable? entry x, by 410 meV per atom over the runner-up.

=====

Entry w
{
  "formula": "BiBPt2",
  "functional": "PBE",
  "state": "relaxed",
  "cell": [[5.201, 0.000, 0.000], [0.000, 5.201, 0.000], [2.601, 2.601, 5.934]],
  "species": ["Bi", "Bi", "Pt", "Pt", "Pt", "Pt", "B", "B"],
  "frac_coords": [[0.750, 0.250, 0.500], [0.000, 0.000, 0.000], [0.875, 0.754, 0.750], [0.504, 0.125, 0.250], [0.375, 0.496, 0.750], [0.246, 0.625, 0.250], [0.250, 0.750, 0.500], [0.500, 0.500, 0.000]],
  "m_tot_mub_per_cell": 0.000,
  "volume_a3_per_fu": 80.28,
  "crystal_system": "tetragonal",
  "space_group": "No. 122",
  "rho_g_cm3": 12.62
}

=====

Entry x
{
  "formula": "BiBPt2",
  "functional": "PBE",
  "state": "relaxed",
  "cell": [[-2.240, -3.860, 1.061], [-4.109, -0.851, -1.853], [-0.461, -3.319, -3.133]],
  "species": ["Pt", "Pt", "B", "Bi"],
  "frac_coords": [[0.250, 0.250, 0.250], [0.750, 0.750, 0.750], [0.000, 0.000, 0.000], [0.500, 0.500, 0.500]],
  "m_tot_mub_per_cell": 0.000,
  "volume_a3_per_fu": 68.26,
  "crystal_system": "cubic",
  "space_group": "No. 225",
  "rho_g_cm3": 14.84
}

=====

Which structure is most stable? entry w, by 819 meV per atom over the runner-up.

=====

Entry w
{
  "formula": "Rb2BiB",
  "functional": "PBE",
  "state": "relaxed",
  "cell": [[-8.963, -5.892, 7.385], [7.864, -10.295, 1.331], [0.428, -7.090, 6.345]],
  "species": ["B", "B", "Rb", "Rb", "Rb", "Rb", "Bi", "Bi"],
  "frac_coords": [[0.500, 0.500, 0.000], [0.250, 0.750, 0.500], [0.414, 0.125, 0.250], [0.375, 0.586, 0.750], [0.336, 0.625, 0.250], [0.875, 0.664, 0.750], [0.000, 0.000, 0.000], [0.750, 0.250, 0.500]],
  "m_tot_mub_per_cell": 0.000,
  "volume_a3_per_fu": 206.22,
  "crystal_system": "tetragonal",
  "space_group": "No. 122",
  "rho_g_cm3": 3.15
}

=====

Entry x
{
  "formula": "Rb2BiB",
  "functional": "PBE",
  "state": "relaxed",
  "cell": [[-1.102, -1.825, 5.613], [-2.222, 3.857, 4.029], [-5.662, -0.584, 1.910]],
  "species": ["Rb", "Rb", "B", "Bi"],
  "frac_coords": [[0.250, 0.250, 0.250], [0.750, 0.750, 0.750], [0.000, 0.000, 0.000], [0.500, 0.500, 0.500]],
  "m_tot_mub_per_cell": 0.000,
  "volume_a3_per_fu": 153.04,
  "crystal_system": "cubic",
  "space_group": "No. 225",
  "rho_g_cm3": 4.24
}

=====

Which structure is most stable? entry w, by 453 meV per atom over the runner-up.

=====

Entry w
{
  "formula": "ReBi3B",
  "functional": "PBE",
  "state": "relaxed",
  "cell": [[-3.885, -3.586, 0.561], [2.596, -3.319, -3.242], [2.536, -2.095, 4.176]],
  "species": ["Bi", "Bi", "Bi", "Re", "B"],
  "frac_coords": [[0.000, 0.000, 0.500], [0.000, 0.500, 0.000], [0.500, 0.000, 0.000], [0.000, 0.000, 0.000], [0.500, 0.500, 0.500]],
  "m_tot_mub_per_cell": 0.000,
  "volume_a3_per_fu": 150.28,
  "crystal_system": "cubic",
  "space_group": "No. 221",
  "rho_g_cm3": 9.10
}

=====

Entry x
{
  "formula": "ReBi3B",
  "functional": "PBE",
  "state": "relaxed",
  "cell": [[4.922, 0.000, 0.000], [0.000, 4.922, 0.000], [0.000, 0.000, 4.922]],
  "species": ["Bi", "Bi", "Bi", "B", "Re"],
  "frac_coords": [[0.000, 0.500, 0.000], [0.500, 0.000, 0.000], [0.000, 0.000, 0.500], [0.000, 0.000, 0.000], [0.500, 0.500, 0.500]],
  "m_tot_mub_per_cell": 2.255,
  "volume_a3_per_fu": 119.27,
  "crystal_system": "cubic",
  "space_group": "No. 221",
  "rho_g_cm3": 11.47
}

=====

Which structure is most stable? entry x, by 90 meV per atom over the runner-up.

=====

Entry w
{
  "formula": "ReBiB2S",
  "functional": "PBE",
  "state": "relaxed",
  "cell": [[4.098, 0.000, 0.000], [0.000, 5.645, 0.000], [0.000, 0.000, 4.098]],
  "species": ["Re", "B", "B", "S", "Bi"],
  "frac_coords": [[0.000, 0.000, 0.000], [0.500, 0.000, 0.000], [0.000, 0.000, 0.500], [0.500, 0.500, 0.500], [0.000, 0.500, 0.000]],
  "m_tot_mub_per_cell": 0.000,
  "volume_a3_per_fu": 94.82,
  "crystal_system": "tetragonal",
  "space_group": "No. 123",
  "rho_g_cm3": 7.86
}

=====

Entry x
{
  "formula": "ReBiB2S",
  "functional": "PBE",
  "state": "relaxed",
  "cell": [[-0.621, 2.221, 3.916], [-4.544, 1.939, -1.820], [-2.210, -3.594, 1.689]],
  "species": ["B", "B", "Re", "Bi", "S"],
  "frac_coords": [[0.000, 0.000, 0.500], [0.500, 0.000, 0.000], [0.500, 0.500, 0.500], [0.000, 0.000, 0.000], [0.000, 0.500, 0.000]],
  "m_tot_mub_per_cell": 3.257,
  "volume_a3_per_fu": 108.74,
  "crystal_system": "tetragonal",
  "space_group": "No. 123",
  "rho_g_cm3": 6.85
}

=====

Which structure is most stable? entry w, by 1769 meV per atom over the runner-up.

=====

Entry w
{
  "formula": "Bi2BRu2",
  "functional": "PBE",
  "state": "relaxed",
  "cell": [[-2.991, 4.881, -1.741], [-4.515, -1.468, 3.642], [2.176, 2.681, 3.779]],
  "species": ["Ru", "Ru", "Ru", "Ru", "Bi", "Bi", "Bi", "Bi", "B", "B"],
  "frac_coords": [[0.663, 0.163, 0.000], [0.837, 0.663, 0.000], [0.163, 0.337, 0.000], [0.337, 0.837, 0.000], [0.815, 0.315, 0.500], [0.685, 0.815, 0.500], [0.315, 0.185, 0.500], [0.185, 0.685, 0.500], [0.500, 0.500, 0.000], [0.000, 0.000, 0.000]],
  "m_tot_mub_per_cell": 0.000,
  "volume_a3_per_fu": 91.64,
  "crystal_system": "tetragonal",
  "space_group": "No. 127",
  "rho_g_cm3": 11.43
}

=====

Entry x
{
  "formula": "Bi2BRu2",
  "functional": "PBE",
  "state": "relaxed",
  "cell": [[-3.613, 3.406, -2.357], [0.047, -3.093, -4.543], [-4.366, -1.719, -2.200]],
  "species": ["B", "Bi", "Bi", "Ru", "Ru"],
  "frac_coords": [[0.000, 0.000, 0.000], [0.250, 0.750, 0.500], [0.750, 0.250, 0.500], [0.721, 0.721, 0.557], [0.279, 0.279, 0.443]],
  "m_tot_mub_per_cell": 0.000,
  "volume_a3_per_fu": 103.57,
  "crystal_system": "tetragonal",
  "space_group": "No. 139",
  "rho_g_cm3": 10.12
}

=====

Which structure is most stable? entry w, by 51 meV per atom over the runner-up.